# PBE YZrTcRh, optimized geometry
data_YZrTcRh
_chemical_formula_sum 'Y4 Zr4 Tc4 Rh4'
_symmetry_space_group_name_H-M 'F -4 3 m'
_symmetry_Int_Tables_number 216
_symmetry_space_group_name_Hall 'F -4 2 3'
_cell_length_a 6.7125
_cell_length_b 6.7125
_cell_length_c 6.7125
_cell_angle_alpha 90.00
_cell_angle_beta 90.00
_cell_angle_gamma 90.00
loop_
_atom_site_label
_atom_site_type_symbol
_atom_site_fract_x
_atom_site_fract_y
_atom_site_fract_z
Y1 Y 0.0000 0.0000 0.0000
Zr1 Zr 0.0000 0.0000 0.5000
Tc1 Tc 0.2500 0.2500 0.7500
Rh1 Rh 0.2500 0.2500 0.2500
# - final energy (eV per atom) = -8.6412